(1)
First-principles (GGA-PBE) data for a relaxed structure of Ce2Dy2Ir3, as listed in Alexandria via LeMat-Bulk.

Cell: 4.667 5.799 7.276 Å, 100.86 90.00 113.71°
Atoms (fractional coordinates):
Ce  0.871  0.743  0.640
Ce  0.129  0.257  0.360
Dy  0.638  0.276  0.919
Dy  0.362  0.724  0.081
Ir  0.000  0.000  0.000
Ir  0.808  0.616  0.283
Ir  0.192  0.384  0.717

(2)
First-principles (GGA-PBE) data for a relaxed structure of Ce4DyIr4, as listed in Alexandria via LeMat-Bulk.

Cell: 5.664 8.946 8.946 Å, 90.00 90.00 90.00°
Atoms (fractional coordinates):
Ce  0.439  0.313  0.907
Ce  0.939  0.593  0.813
Ce  0.439  0.687  0.093
Ce  0.061  0.187  0.593
Ce  0.561  0.907  0.687
Ce  0.061  0.813  0.407
Ce  0.939  0.407  0.187
Ce  0.561  0.093  0.313
Dy  0.000  0.000  0.000
Dy  0.500  0.500  0.500
Ir  0.564  0.792  0.380
Ir  0.564  0.208  0.620
Ir  0.064  0.880  0.708
Ir  0.936  0.292  0.880
Ir  0.936  0.708  0.120
Ir  0.436  0.380  0.208
Ir  0.436  0.620  0.792
Ir  0.064  0.120  0.292

(3)
First-principles (GGA-PBE) data for a relaxed structure of CeDy4Ir4, as listed in Alexandria via LeMat-Bulk.

Cell: 5.743 8.775 8.775 Å, 90.00 90.00 90.00°
Atoms (fractional coordinates):
Ce  0.000  0.000  0.000
Ce  0.500  0.500  0.500
Dy  0.400  0.323  0.912
Dy  0.900  0.588  0.823
Dy  0.400  0.677  0.088
Dy  0.100  0.177  0.588
Dy  0.600  0.912  0.677
Dy  0.100  0.823  0.412
Dy  0.900  0.412  0.177
Dy  0.600  0.088  0.323
Ir  0.600  0.772  0.374
Ir  0.600  0.228  0.626
Ir  0.100  0.874  0.728
Ir  0.900  0.272  0.874
Ir  0.900  0.728  0.126
Ir  0.400  0.374  0.228
Ir  0.400  0.626  0.772
Ir  0.100  0.126  0.272

(4)
First-principles (GGA-PBE) data for a relaxed structure of Ce5DyIr5, as listed in Alexandria via LeMat-Bulk.

Cell: 5.681 6.939 8.112 Å, 107.00 90.00 114.16°
Atoms (fractional coordinates):
Ce  0.671  0.342  0.328
Ce  0.671  0.342  0.843
Ce  0.000  0.000  0.500
Ce  0.329  0.658  0.157
Ce  0.329  0.658  0.672
Dy  0.000  0.000  0.000
Ir  0.839  0.677  0.177
Ir  0.831  0.662  0.658
Ir  0.500  0.000  0.000
Ir  0.169  0.338  0.342
Ir  0.161  0.323  0.823

(5)
First-principles (GGA-PBE) data for a relaxed structure of Ce2Dy2Ir3, as listed in Alexandria via LeMat-Bulk.

Cell: 7.495 7.495 7.495 Å, 109.47 109.47 109.47°
Atoms (fractional coordinates):
Ce  0.500  0.380  0.500
Ce  0.000  0.000  0.380
Ce  0.620  0.120  0.120
Ce  0.880  0.500  0.000
Dy  0.000  0.000  0.874
Dy  0.500  0.874  0.500
Dy  0.126  0.626  0.626
Dy  0.374  0.500  0.000
Ir  0.750  0.630  0.380
Ir  0.250  0.870  0.120
Ir  0.620  0.750  0.870
Ir  0.880  0.250  0.630
Ir  0.370  0.120  0.750
Ir  0.130  0.380  0.250

(6)
First-principles (GGA-PBE) data for a relaxed structure of Ce3DyIr3, as listed in Alexandria via LeMat-Bulk.

Cell: 6.906 6.906 7.039 Å, 89.48 89.48 98.05°
Atoms (fractional coordinates):
Ce  0.646  0.646  0.390
Ce  0.185  0.815  0.500
Ce  0.815  0.185  0.500
Ce  0.249  0.751  0.000
Ce  0.751  0.249  0.000
Ce  0.354  0.354  0.610
Dy  0.752  0.752  0.883
Dy  0.248  0.248  0.117
Ir  0.938  0.938  0.211
Ir  0.028  0.483  0.767
Ir  0.483  0.028  0.767
Ir  0.972  0.517  0.233
Ir  0.517  0.972  0.233
Ir  0.062  0.062  0.789

(7)
First-principles (GGA-PBE) data for a relaxed structure of Ce2Dy5Ir4, as listed in Alexandria via LeMat-Bulk.

Cell: 4.048 6.536 12.201 Å, 71.19 99.55 90.00°
Atoms (fractional coordinates):
Ce  0.578  0.422  0.156
Ce  0.422  0.578  0.844
Dy  0.129  0.887  0.259
Dy  0.871  0.113  0.741
Dy  0.229  0.302  0.457
Dy  0.500  0.000  0.000
Dy  0.771  0.698  0.543
Ir  0.669  0.586  0.337
Ir  0.977  0.730  0.953
Ir  0.331  0.414  0.663
Ir  0.023  0.270  0.047

(8)
First-principles (GGA-PBE) data for a relaxed structure of Ce5DyIr4, as listed in Alexandria via LeMat-Bulk.

Cell: 4.150 7.742 8.995 Å, 108.12 103.34 90.00°
Atoms (fractional coordinates):
Ce  0.828  0.629  0.656
Ce  0.837  0.126  0.674
Ce  0.163  0.874  0.326
Ce  0.500  0.500  0.000
Ce  0.172  0.371  0.344
Dy  0.500  0.000  0.000
Ir  0.318  0.859  0.635
Ir  0.997  0.733  0.993
Ir  0.682  0.141  0.365
Ir  0.003  0.267  0.007

(9)
First-principles (GGA-PBE) data for a relaxed structure of CeDy5Ir6, as listed in Alexandria via LeMat-Bulk.

Cell: 4.800 7.092 7.575 Å, 90.00 71.53 90.00°
Atoms (fractional coordinates):
Ir  0.836  0.751  0.329
Ir  0.836  0.249  0.329
Ir  0.500  0.248  0.000
Ir  0.500  0.752  0.000
Ir  0.164  0.751  0.671
Ir  0.164  0.249  0.671
Ce  0.000  0.000  0.000
Dy  0.667  0.500  0.665
Dy  0.331  0.000  0.337
Dy  0.000  0.500  0.000
Dy  0.669  0.000  0.663
Dy  0.333  0.500  0.335

(10)
First-principles (GGA-PBE) data for a relaxed structure of CeDy5Ir4, as listed in Alexandria via LeMat-Bulk.

Cell: 4.158 7.482 9.388 Å, 113.57 102.79 90.00°
Atoms (fractional coordinates):
Ce  0.500  0.000  0.000
Dy  0.834  0.591  0.668
Dy  0.834  0.078  0.668
Dy  0.166  0.922  0.332
Dy  0.500  0.500  0.000
Dy  0.166  0.409  0.332
Ir  0.299  0.800  0.599
Ir  0.000  0.751  0.000
Ir  0.701  0.200  0.401
Ir  0.000  0.249  0.000

(11)
First-principles (GGA-PBE) data for a relaxed structure of CeDy3Ir8, as listed in Alexandria via LeMat-Bulk.

Cell: 5.373 5.373 9.296 Å, 73.20 73.20 60.00°
Atoms (fractional coordinates):
Ce  0.875  0.875  0.374
Dy  0.375  0.375  0.876
Dy  0.001  0.001  0.998
Dy  0.499  0.499  0.502
Ir  0.936  0.438  0.187
Ir  0.438  0.937  0.688
Ir  0.438  0.438  0.187
Ir  0.937  0.937  0.688
Ir  0.187  0.187  0.438
Ir  0.688  0.688  0.937
Ir  0.438  0.936  0.187
Ir  0.937  0.438  0.688

(12)
First-principles (GGA-PBE) data for a relaxed structure of CeDyMgIr, as listed in Alexandria via LeMat-Bulk.

Cell: 5.067 5.067 5.067 Å, 60.00 60.00 60.00°
Atoms (fractional coordinates):
Mg  0.000  0.000  0.000
Ir  0.500  0.500  0.500
Ce  0.250  0.250  0.250
Dy  0.750  0.750  0.750

For reference, V by record: 176.4; 226.7; 221.1; 276.3; 162.0; 166.2; 300.8; 266.5; 244.6; 259.8; 219.1; 92.0 Å³/f.u..
For reference, formation enthalpy at 0 K by record: -0.67; -0.67; -0.69; -0.65; -0.75; -0.62; -0.61; -0.58; -0.79; -0.69; -0.80; -0.34 eV/atom.